## LiCdCoW (PBE)

Data for a relaxed structure of LiCdCoW.

Cell and atoms, written as POSCAR:
```
LiCdCoW
1.0
4.192 0.017 1.197
1.101 -1.001 4.097
2.038 -3.757 0.853
Cd Co Li W
1 1 1 1
direct
0.500 0.500 0.500
0.000 0.000 0.000
0.750 0.750 0.750
0.250 0.250 0.250
```

- space-group type = F-43m (216)
- relative energy among the computed polymorphs (eV per formula unit) = 0.83
- calculated total energy (eV per atom) = -5.1922
- calculated volume (Å³ per cell) = 58.57